Below is SrMnV2Ag2O8 after structural relaxation, with properties calculated at the PBE+U level.

Structure (CIF):
```
data_SrMnV2Ag2O8
_space_group_name_H-M_alt 'C 1 2/c 1'
_space_group_IT_number 15
_cell_length_a 10.1712
_cell_length_b 5.6620
_cell_length_c 13.8967
_cell_angle_alpha 90.00
_cell_angle_beta 91.09
_cell_angle_gamma 90.00
loop_
_space_group_symop_operation_xyz
'x,y,z'
'-x,-y,-z'
'-x,y,-z+1/2'
'x,-y,z+1/2'
'x+1/2,y+1/2,z'
'-x+1/2,-y+1/2,-z'
'-x+1/2,y+1/2,-z+1/2'
'x+1/2,-y+1/2,z+1/2'
loop_
_atom_site_label
_atom_site_fract_x
_atom_site_fract_y
_atom_site_fract_z
Sr1 0.0000 0.0757 0.2500
Mn1 0.0000 0.0000 0.0000
V1 0.1754 0.4611 0.8713
Ag1 0.1563 0.4550 0.5998
O1 0.0976 0.1851 0.8837
O2 0.1041 0.3285 0.4476
O3 0.1525 0.4368 0.2550
O4 0.1544 0.0589 0.1042
```

Output
uncorrected energy	-6.68	eV/atom
D(E_F)	0.00	states/eV per cell